1.
# ZrScBe2Pb

A crystal of ZrScBe2Pb relaxed with PBEsol (meta-GGA SCAN, Alexandria via LeMat-Bulk).

extended XYZ file:
```
5
Lattice="-4.034 -1.035 2.270 0.167 -4.418 -1.719 2.521 -1.400 3.842" Properties=species:S:1:pos:R:3 pbc="T T T"
Pb -0.673 -3.426 2.197
Be -2.017 -0.518 1.135
Be 0.083 -2.209 -0.859
Zr 0.000 0.000 0.000
Sc 1.261 -0.700 1.921
```

Fermi-level density of states	3.2	states/eV/cell
formation enthalpy at 0 K	1172	meV/atom
calculated density	5.552	g/cm3
symmetry	P4/mmm (123)

=====

2.
# NaMgScGa2

A crystal of NaMgScGa2 relaxed with PBEsol (meta-GGA SCAN, Alexandria via LeMat-Bulk).

extended XYZ file:
```
5
Lattice="4.762 0.000 0.000 0.000 4.890 0.000 0.000 0.000 4.890" Properties=species:S:1:pos:R:3 pbc="T T T"
Sc 2.381 2.445 2.445
Ga 0.000 2.445 0.000
Ga 0.000 0.000 2.445
Mg 2.381 0.000 0.000
Na 0.000 0.000 0.000
```

Fermi-level density of states	2.5	states/eV/cell
formation enthalpy at 0 K	561	meV/atom
calculated density	3.380	g/cm3
symmetry	P4/mmm (123)

=====

3.
# In2Se

A crystal of In2Se relaxed with PBEsol (meta-GGA SCAN, Alexandria via LeMat-Bulk).

extended XYZ file:
```
6
Lattice="3.876 0.000 0.000 -1.938 6.174 0.000 0.000 0.000 6.457" Properties=species:S:1:pos:R:3 pbc="T T T"
In 1.938 4.340 2.649
In 0.000 5.620 5.050
In 1.938 0.553 1.822
In 0.000 1.833 5.877
Se 1.938 3.866 6.302
Se 0.000 2.308 3.073
```

Fermi-level density of states	1.8	states/eV/cell
calculated density	6.633	g/cm3
energy relative to the lowest polymorph listed for this composition	39.5	meV per atom
symmetry	Cmc2_1 (36)

=====

4.
# Zr5Co

A crystal of Zr5Co relaxed with PBEsol (meta-GGA SCAN, Alexandria via LeMat-Bulk).

extended XYZ file:
```
6
Lattice="-2.757 -1.382 0.904 1.000 -3.942 -2.979 4.803 -2.568 5.010" Properties=species:S:1:pos:R:3 pbc="T T T"
Zr 1.637 -3.053 0.323
Zr -0.878 -2.662 -1.038
Zr -0.371 -1.649 2.058
Zr 1.410 -4.839 2.611
Zr 2.418 -2.301 3.856
Co 0.000 0.000 0.000
```

Fermi-level density of states	6.9	states/eV/cell
formation enthalpy at 0 K	55	meV/atom
calculated density	7.308	g/cm3
energy relative to the lowest polymorph listed for this composition	100.8	meV per atom
symmetry	Cmmm (65)

=====

5.
# In2NiCl

A crystal of In2NiCl relaxed with PBEsol (meta-GGA SCAN, Alexandria via LeMat-Bulk).

extended XYZ file:
```
4
Lattice="2.992 0.000 0.000 0.000 5.189 0.000 -1.496 -2.595 5.036" Properties=species:S:1:pos:R:3 pbc="T T T"
Ni 1.496 2.595 0.051
In 0.000 0.000 0.095
In 1.496 0.000 2.973
Cl 0.000 2.595 1.918
```

Fermi-level density of states	1.8	states/eV/cell
calculated density	6.875	g/cm3
energy relative to the lowest polymorph listed for this composition	43.3	meV per atom
symmetry	Imm2 (44)

=====

6.
# TaAs4

A crystal of TaAs4 relaxed with PBEsol (meta-GGA SCAN, Alexandria via LeMat-Bulk).

extended XYZ file:
```
5
Lattice="-2.603 -0.242 -2.261 2.152 -1.375 -2.330 -1.569 -6.899 5.187" Properties=species:S:1:pos:R:3 pbc="T T T"
As 0.178 -4.541 0.281
As -2.199 -3.975 0.315
As -0.504 -2.005 -1.847
As -1.516 -6.511 2.443
Ta 0.000 0.000 0.000
```

Fermi-level density of states	3.0	states/eV/cell
formation enthalpy at 0 K	276	meV/atom
calculated density	7.928	g/cm3
symmetry	I4/mmm (139)

=====

Copy entry 5 word for word.
# In2NiCl

A crystal of In2NiCl relaxed with PBEsol (meta-GGA SCAN, Alexandria via LeMat-Bulk).

extended XYZ file:
```
4
Lattice="2.992 0.000 0.000 0.000 5.189 0.000 -1.496 -2.595 5.036" Properties=species:S:1:pos:R:3 pbc="T T T"
Ni 1.496 2.595 0.051
In 0.000 0.000 0.095
In 1.496 0.000 2.973
Cl 0.000 2.595 1.918
```

Fermi-level density of states	1.8	states/eV/cell
calculated density	6.875	g/cm3
energy relative to the lowest polymorph listed for this composition	43.3	meV per atom
symmetry	Imm2 (44)

=====

Question: Which of these has the lowest calculated density?
Answer: NaMgScGa2

=====

Question: Number 6 is which compound?
Answer: TaAs4

=====

Question: The highest Fermi-level density of states belongs to which entry?
Answer: Zr5Co